SbRu2Au: relaxed, PBEsol.

Lattice parameters (Å, degrees): 2.9968 4.0313 5.5357 90.00 103.85 90.00
With the nearest neighbours (Å) after each atom.
Positions (direct):
Au  0.5000  0.5000  0.5000  2 Sb 2.77, 8 Ru 2.85-2.86, 2 Au 3.00
Ru  0.1129  0.0000  0.7528  2 Sb 2.55, 1 Ru 2.72, 4 Au 2.85-2.86
Ru  0.8871  0.0000  0.2472  2 Sb 2.55, 1 Ru 2.72, 4 Au 2.85-2.86
Sb  0.5000  0.5000  0.0000  4 Ru 2.55, 2 Au 2.77

The calculation puts the density of states at the Fermi level at 3.1 states/eV/f.u. The value obtained for the size of the total moment is 0.0 μB/f.u. As for the formation energy (no corrections): 329.8 meV/atom.